[1]
# HgOsBr2 (PBE, relaxed)
data_HgOsBr2
_space_group_name_H-M_alt 'P 4/m m m'
_space_group_IT_number 123
_space_group_name_Hall '-P 4 2'
_cell_length_a 5.0891
_cell_length_b 5.0891
_cell_length_c 3.2361
_cell_angle_alpha 90.00
_cell_angle_beta 90.00
_cell_angle_gamma 90.00
loop_
_atom_site_label
_atom_site_type_symbol
_atom_site_fract_x
_atom_site_fract_y
_atom_site_fract_z
Hg1 Hg 0.0000 0.0000 0.0000
Os1 Os 0.5000 0.5000 0.0000
Br1 Br 0.0000 0.5000 0.5000
# Calculated total energy   -9.73 eV/cell
# Magnetic moment   0.667 μB per cell
# Excess energy over the best structure of this formula in the dataset   981 meV per atom

[2]
# HgOs3Br (PBE, relaxed)
data_HgOs3Br
_space_group_name_H-M_alt 'P m -3 m'
_space_group_IT_number 221
_space_group_name_Hall '-P 4 2 3'
_cell_length_a 5.0834
_cell_length_b 5.0834
_cell_length_c 5.0834
_cell_angle_alpha 90.00
_cell_angle_beta 90.00
_cell_angle_gamma 90.00
loop_
_atom_site_label
_atom_site_type_symbol
_atom_site_fract_x
_atom_site_fract_y
_atom_site_fract_z
Hg1 Hg 0.0000 0.0000 0.0000
Os1 Os 0.0000 0.0000 0.5000
Br1 Br 0.5000 0.5000 0.5000
# Calculated total energy   -19.48 eV/cell
# Magnetic moment   8.285 μB per cell
# Excess energy over the best structure of this formula in the dataset   831 meV per atom

[3]
# HgOs3Br (PBE, relaxed)
data_HgOs3Br
_space_group_name_H-M_alt 'P m -3 m'
_space_group_IT_number 221
_space_group_name_Hall '-P 4 2 3'
_cell_length_a 4.5813
_cell_length_b 4.5813
_cell_length_c 4.5813
_cell_angle_alpha 90.00
_cell_angle_beta 90.00
_cell_angle_gamma 90.00
loop_
_atom_site_label
_atom_site_type_symbol
_atom_site_fract_x
_atom_site_fract_y
_atom_site_fract_z
Hg1 Hg 0.0000 0.0000 0.0000
Os1 Os 0.0000 0.5000 0.5000
Br1 Br 0.5000 0.5000 0.5000
# Calculated total energy   -23.64 eV/cell
# Magnetic moment   0.000 μB per cell
# Excess energy over the best structure of this formula in the dataset   0 meV per atom

[4]
# HgOsBr2 (PBE, relaxed)
data_HgOsBr2
_space_group_name_H-M_alt 'R -3 m'
_space_group_IT_number 166
_space_group_name_Hall '-R 3 2"'
_cell_length_a 3.8156
_cell_length_b 3.8156
_cell_length_c 31.1544
_cell_angle_alpha 90.00
_cell_angle_beta 90.00
_cell_angle_gamma 120.00
loop_
_atom_site_label
_atom_site_type_symbol
_atom_site_fract_x
_atom_site_fract_y
_atom_site_fract_z
Hg1 Hg 0.0000 0.0000 0.0000
Os1 Os 0.0000 0.0000 0.5000
Br1 Br 0.0000 0.0000 0.1259
# Calculated total energy   -40.96 eV/cell
# Magnetic moment   0.000 μB per cell
# Excess energy over the best structure of this formula in the dataset   1 meV per atom